Record 1
## TlCd3Pb2 (PBE)

Data for crystalline TlCd3Pb2 at its relaxed geometry.

DFT total energy (eV/f.u.): -12.20
Size of the total moment (μB per formula unit): 0.00
Space-group type: Pmma
Mass density (Mg/m³): 9.31

a b c (Å): 5.9026 5.8866 9.8185
angles (deg): 90.00 90.00 90.00
Closest atoms and distances in Å follow each position.
Positions (direct):
1 Tl 0.7500 0.5000 0.5613  2 Tl 3.19, 3 Pb 3.21-3.43, 2 Cd 3.36
2 Tl 0.2500 0.5000 0.4387  2 Tl 3.19, 3 Pb 3.21-3.43, 2 Cd 3.36
3 Cd 0.0000 0.0000 0.0000  6 Cd 2.95-3.25
4 Cd 0.5000 0.0000 0.0000  6 Cd 2.95-3.25
5 Cd 0.7500 0.2540 0.2520  2 Cd 2.90-2.99
6 Cd 0.7500 0.7460 0.2520  2 Cd 2.90-2.99
7 Cd 0.2500 0.2540 0.7480  2 Cd 2.90-2.99
8 Cd 0.2500 0.7460 0.7480  2 Cd 2.90-2.99
9 Pb 0.2500 0.5000 0.0892  10 Cd 3.41-3.66, 1 Tl 3.43, 4 Pb 3.43-3.64
10 Pb 0.2500 0.0000 0.3069  2 Tl 3.21, 6 Cd 3.35-3.36
11 Pb 0.7500 0.0000 0.6931  2 Tl 3.21, 6 Cd 3.35-3.36
12 Pb 0.7500 0.5000 0.9108  10 Cd 3.41-3.66, 1 Tl 3.43, 4 Pb 3.43-3.64



Record 2
## Tl2CdPb (PBE)

Data for crystalline Tl2CdPb at its relaxed geometry.

DFT total energy (eV/f.u.): -9.23
Size of the total moment (μB per formula unit): 0.00
Space-group type: P2/m
Mass density (Mg/m³): 10.24

a b c (Å): 5.4015 3.3802 6.7481
angles (deg): 73.39 90.00 90.00
Closest atoms and distances in Å follow each position.
Positions (direct):
1 Pb 0.5000 0.7500 0.7500  2 Cd 3.31, 2 Pb 3.38, 8 Tl 3.55-3.63
2 Tl 0.0000 0.0784 0.0064  2 Cd 3.30, 4 Tl 3.32-3.40, 4 Pb 3.55-3.63
3 Tl 0.0000 0.4216 0.4936  2 Cd 3.30, 4 Tl 3.32-3.40, 4 Pb 3.55-3.63
4 Cd 0.5000 0.2500 0.2500  4 Tl 3.30, 2 Pb 3.31, 2 Cd 3.38



Record 3
## Tl2Cd4Pb5 (PBE)

Data for crystalline Tl2Cd4Pb5 at its relaxed geometry.

DFT total energy (eV/f.u.): -26.04
Size of the total moment (μB per formula unit): 0.00
Space-group type: C2/m
Mass density (Mg/m³): 9.53

a b c (Å): 6.7386 7.1861 8.4448
angles (deg): 75.39 66.49 62.04
Closest atoms and distances in Å follow each position.
Positions (direct):
1 Tl 0.2927 0.6589 0.7558  2 Cd 3.08-3.39
2 Tl 0.7073 0.3411 0.2442  2 Cd 3.08-3.39
3 Cd 0.2587 0.0188 0.4637  1 Tl 3.08, 5 Pb 3.09-3.45, 3 Cd 3.17-3.42
4 Cd 0.7413 0.9812 0.5363  1 Tl 3.08, 5 Pb 3.09-3.45, 3 Cd 3.17-3.42
5 Cd 0.7361 0.6577 0.8700  3 Pb 3.11-3.18, 1 Cd 3.17, 3 Tl 3.39-3.48
6 Cd 0.2639 0.3423 0.1300  3 Pb 3.11-3.18, 1 Cd 3.17, 3 Tl 3.39-3.48
7 Pb 0.2412 0.1791 0.8234  4 Cd 3.16-3.49, 4 Pb 3.27-3.50, 1 Tl 3.51
8 Pb 0.7588 0.8209 0.1766  4 Cd 3.16-3.49, 4 Pb 3.27-3.50, 1 Tl 3.51
9 Pb 0.0000 0.5000 0.5000  4 Cd 3.09-3.11
10 Pb 0.7563 0.1791 0.8234  4 Cd 3.16-3.49, 4 Pb 3.27-3.50, 1 Tl 3.51
11 Pb 0.2437 0.8209 0.1766  4 Cd 3.16-3.49, 4 Pb 3.27-3.50, 1 Tl 3.51



Record 4
## Tl6CdPb2 (PBE)

Data for crystalline Tl6CdPb2 at its relaxed geometry.

DFT total energy (eV/f.u.): -22.21
Size of the total moment (μB per formula unit): 0.00
Space-group type: C2/c
Mass density (Mg/m³): 10.38

a b c (Å): 6.6324 9.3052 9.3052
angles (deg): 98.22 96.10 96.10
Closest atoms and distances in Å follow each position.
Positions (direct):
1 Tl 0.5044 0.3252 0.7314  6 Tl 3.33-3.67, 1 Cd 3.37, 3 Pb 3.43-3.73
2 Tl 0.9956 0.2686 0.6748  6 Tl 3.33-3.67, 1 Cd 3.37, 3 Pb 3.43-3.73
3 Tl 0.4956 0.6748 0.2686  6 Tl 3.33-3.67, 1 Cd 3.37, 3 Pb 3.43-3.73
4 Tl 0.0044 0.7314 0.3252  6 Tl 3.33-3.67, 1 Cd 3.37, 3 Pb 3.43-3.73
5 Tl 0.7055 0.9352 0.5748  1 Cd 3.21, 5 Tl 3.35-3.58, 2 Pb 3.37-3.43
6 Tl 0.7945 0.4252 0.0648  1 Cd 3.21, 5 Tl 3.35-3.58, 2 Pb 3.37-3.43
7 Tl 0.2945 0.0648 0.4252  1 Cd 3.21, 5 Tl 3.35-3.58, 2 Pb 3.37-3.43
8 Tl 0.2055 0.5748 0.9352  1 Cd 3.21, 5 Tl 3.35-3.58, 2 Pb 3.37-3.43
9 Tl 0.2861 0.2456 0.0499  1 Cd 3.19, 2 Pb 3.32-3.57, 3 Tl 3.46-3.57
10 Tl 0.2139 0.9501 0.7544  1 Cd 3.19, 2 Pb 3.32-3.57, 3 Tl 3.46-3.57
11 Tl 0.7139 0.7544 0.9501  1 Cd 3.19, 2 Pb 3.32-3.57, 3 Tl 3.46-3.57
12 Tl 0.7861 0.0499 0.2456  1 Cd 3.19, 2 Pb 3.32-3.57, 3 Tl 3.46-3.57
13 Cd 0.2500 0.9094 0.0906  6 Tl 3.19-3.37
14 Cd 0.7500 0.0906 0.9094  6 Tl 3.19-3.37
15 Pb 0.1169 0.3843 0.3570  6 Tl 3.32-3.57, 3 Pb 3.34-3.35
16 Pb 0.3831 0.6430 0.6157  6 Tl 3.32-3.57, 3 Pb 3.34-3.35
17 Pb 0.8831 0.6157 0.6430  6 Tl 3.32-3.57, 3 Pb 3.34-3.35
18 Pb 0.6169 0.3570 0.3843  6 Tl 3.32-3.57, 3 Pb 3.34-3.35



Record 5
## Tl5CdPb4 (PBE)

Data for crystalline Tl5CdPb4 at its relaxed geometry.

DFT total energy (eV/f.u.): -27.46
Size of the total moment (μB per formula unit): 0.00
Space-group type: P4/mmm
Mass density (Mg/m³): 10.71

a b c (Å): 3.3679 3.3679 26.8242
angles (deg): 90.00 90.00 90.00
Closest atoms and distances in Å follow each position.
Positions (direct):
1 Tl 0.5000 0.5000 0.0906  4 Tl 3.37, 4 Cd 3.40, 4 Pb 3.63
2 Tl 0.5000 0.5000 0.2950  4 Tl 3.37, 8 Pb 3.63-3.64
3 Tl 0.5000 0.5000 0.5000  4 Tl 3.37, 8 Pb 3.64
4 Tl 0.5000 0.5000 0.7050  4 Tl 3.37, 8 Pb 3.63-3.64
5 Tl 0.5000 0.5000 0.9094  4 Tl 3.37, 4 Cd 3.40, 4 Pb 3.63
6 Cd 0.0000 0.0000 0.0000  4 Cd 3.37, 8 Tl 3.40
7 Pb 0.0000 0.0000 0.1928  4 Pb 3.37, 8 Tl 3.63
8 Pb 0.0000 0.0000 0.3975  4 Pb 3.37, 8 Tl 3.64
9 Pb 0.0000 0.0000 0.6025  4 Pb 3.37, 8 Tl 3.64
10 Pb 0.0000 0.0000 0.8072  4 Pb 3.37, 8 Tl 3.63



Record 6
## Tl2CdPb (PBE)

Data for crystalline Tl2CdPb at its relaxed geometry.

DFT total energy (eV/f.u.): -9.19
Size of the total moment (μB per formula unit): 0.00
Space-group type: Immm
Mass density (Mg/m³): 10.35

a b c (Å): 6.4952 6.4952 6.4952
angles (deg): 145.94 129.66 62.18
Closest atoms and distances in Å follow each position.
Positions (direct):
1 Pb 0.2500 0.7500 0.5000  4 Cd 3.35, 4 Tl 3.50
2 Tl 0.9856 0.9856 0.0000  2 Cd 3.24, 4 Tl 3.37, 2 Pb 3.50
3 Tl 0.5144 0.5144 0.0000  2 Cd 3.24, 4 Tl 3.37, 2 Pb 3.50
4 Cd 0.7500 0.2500 0.5000  4 Tl 3.24, 4 Pb 3.35



Record 7
## TlCd3Pb (PBE)

Data for crystalline TlCd3Pb at its relaxed geometry.

DFT total energy (eV/f.u.): -6.97
Size of the total moment (μB per formula unit): 0.00
Space-group type: Pm-3m
Mass density (Mg/m³): 6.36

a b c (Å): 5.8050 5.8050 5.8050
angles (deg): 90.00 90.00 90.00
Closest atoms and distances in Å follow each position.
Positions (direct):
1 Pb 0.0000 0.0000 0.0000  6 Cd 2.90
2 Tl 0.5000 0.5000 0.5000  12 Cd 4.10
3 Cd 0.0000 0.5000 0.0000  2 Pb 2.90
4 Cd 0.0000 0.0000 0.5000  2 Pb 2.90
5 Cd 0.5000 0.0000 0.0000  2 Pb 2.90



Record 8
## Tl2Cd2Pb (PBE)

Data for crystalline Tl2Cd2Pb at its relaxed geometry.

DFT total energy (eV/f.u.): -9.73
Size of the total moment (μB per formula unit): 0.00
Space-group type: I4/mmm
Mass density (Mg/m³): 9.22

a b c (Å): 4.0594 4.0594 9.6248
angles (deg): 77.83 77.83 90.00
Closest atoms and distances in Å follow each position.
Positions (direct):
1 Pb 0.0000 0.0000 0.0000  8 Tl 3.44
2 Tl 0.3965 0.3965 0.2069  4 Cd 3.37, 4 Pb 3.44
3 Tl 0.6035 0.6035 0.7931  4 Cd 3.37, 4 Pb 3.44
4 Cd 0.7500 0.2500 0.5000  4 Cd 2.87
5 Cd 0.2500 0.7500 0.5000  4 Cd 2.87



Record 9
## Tl2Cd3Pb7 (PBE)

Data for crystalline Tl2Cd3Pb7 at its relaxed geometry.

DFT total energy (eV/f.u.): -32.56
Size of the total moment (μB per formula unit): 0.00
Space-group type: P2/m
Mass density (Mg/m³): 10.04

a b c (Å): 3.4957 5.8569 20.2847
angles (deg): 119.03 90.00 90.00
Closest atoms and distances in Å follow each position.
Positions (direct):
1 Tl 0.5000 0.8882 0.3054  2 Cd 3.23, 4 Pb 3.27-3.34, 2 Tl 3.50
2 Tl 0.5000 0.1118 0.6946  2 Cd 3.23, 4 Pb 3.27-3.34, 2 Tl 3.50
3 Cd 0.5000 0.5000 0.0000  8 Pb 3.18-3.41, 2 Cd 3.50
4 Cd 0.0000 0.1680 0.4585  4 Cd 3.15-3.50, 2 Pb 3.23, 2 Tl 3.23
5 Cd 0.0000 0.8320 0.5415  4 Cd 3.15-3.50, 2 Pb 3.23, 2 Tl 3.23
6 Pb 0.5000 0.5318 0.3892  4 Cd 3.23-3.53, 2 Tl 3.27-3.30, 2 Pb 3.50
7 Pb 0.5000 0.4682 0.6108  4 Cd 3.23-3.53, 2 Tl 3.27-3.30, 2 Pb 3.50
8 Pb 0.0000 0.6303 0.1453  2 Cd 3.18, 2 Tl 3.34, 7 Pb 3.43-3.50
9 Pb 0.0000 0.0000 0.0000  4 Cd 3.41, 8 Pb 3.43-3.72
10 Pb 0.0000 0.3697 0.8547  2 Cd 3.18, 2 Tl 3.34, 7 Pb 3.43-3.50
11 Pb 0.5000 0.8155 0.8189  9 Pb 3.44-3.72, 2 Tl 3.64-3.69
12 Pb 0.5000 0.1845 0.1811  9 Pb 3.44-3.72, 2 Tl 3.64-3.69



Record 10
## TlCd2Pb (PBE)

Data for crystalline TlCd2Pb at its relaxed geometry.

DFT total energy (eV/f.u.): -7.61
Size of the total moment (μB per formula unit): 0.00
Space-group type: P4/mmm
Mass density (Mg/m³): 9.54

a b c (Å): 5.6034 5.6034 3.5293
angles (deg): 90.00 90.00 90.00
Closest atoms and distances in Å follow each position.
Positions (direct):
1 Pb 0.5000 0.0000 0.5000  8 Cd 3.31, 2 Pb 3.53
2 Tl 0.0000 0.5000 0.5000  8 Cd 3.31, 2 Tl 3.53
3 Cd 0.0000 0.0000 0.0000  4 Tl 3.31, 4 Pb 3.31, 2 Cd 3.53
4 Cd 0.5000 0.5000 0.0000  4 Tl 3.31, 4 Pb 3.31, 2 Cd 3.53



Record 11
## TlCd2Pb (PBE)

Data for crystalline TlCd2Pb at its relaxed geometry.

DFT total energy (eV/f.u.): -7.63
Size of the total moment (μB per formula unit): 0.00
Space-group type: Pmmm
Mass density (Mg/m³): 9.48

a b c (Å): 3.3270 5.7523 5.8246
angles (deg): 90.00 90.00 90.00
Closest atoms and distances in Å follow each position.
Positions (direct):
1 Pb 0.5000 0.0000 0.5000  4 Tl 3.32, 2 Pb 3.33, 4 Cd 3.35
2 Tl 0.0000 0.5000 0.5000  4 Pb 3.32, 2 Tl 3.33, 4 Cd 3.35
3 Cd 0.0000 0.0000 0.0000  6 Cd 3.32-3.33, 4 Pb 3.35
4 Cd 0.5000 0.5000 0.0000  6 Cd 3.32-3.33, 4 Tl 3.35



Record 12
## Tl8CdPb6 (PBE)

Data for crystalline Tl8CdPb6 at its relaxed geometry.

DFT total energy (eV/f.u.): -41.09
Size of the total moment (μB per formula unit): 0.00
Space-group type: P-3
Mass density (Mg/m³): 10.48

a b c (Å): 5.8468 9.6755 9.6755
angles (deg): 120.00 90.00 90.00
Closest atoms and distances in Å follow each position.
Positions (direct):
1 Tl 0.8045 0.0360 0.2723  1 Cd 3.05, 2 Tl 3.37, 3 Pb 3.39-3.41
2 Tl 0.8045 0.7277 0.7637  1 Cd 3.05, 2 Tl 3.37, 3 Pb 3.39-3.41
3 Tl 0.8045 0.2363 0.9640  1 Cd 3.05, 2 Tl 3.37, 3 Pb 3.39-3.41
4 Tl 0.1955 0.9640 0.7277  1 Cd 3.05, 2 Tl 3.37, 3 Pb 3.39-3.41
5 Tl 0.1955 0.2723 0.2363  1 Cd 3.05, 2 Tl 3.37, 3 Pb 3.39-3.41
6 Tl 0.1955 0.7637 0.0360  1 Cd 3.05, 2 Tl 3.37, 3 Pb 3.39-3.41
7 Tl 0.8048 0.3333 0.6667  3 Tl 3.44, 6 Pb 3.51-3.53
8 Tl 0.1952 0.6667 0.3333  3 Tl 3.44, 6 Pb 3.51-3.53
9 Cd 0.5000 0.0000 0.0000  6 Tl 3.05
10 Pb 0.6971 0.6400 0.1181  6 Tl 3.39-3.53, 3 Pb 3.41-3.42
11 Pb 0.6971 0.8819 0.5219  6 Tl 3.39-3.53, 3 Pb 3.41-3.42
12 Pb 0.6971 0.4781 0.3600  6 Tl 3.39-3.53, 3 Pb 3.41-3.42
13 Pb 0.3029 0.3600 0.8819  6 Tl 3.39-3.53, 3 Pb 3.41-3.42
14 Pb 0.3029 0.1181 0.4781  6 Tl 3.39-3.53, 3 Pb 3.41-3.42
15 Pb 0.3029 0.5219 0.6400  6 Tl 3.39-3.53, 3 Pb 3.41-3.42



| no. | calculated formation energy (eV/atom) |
| --- | --- |
| 1 | 0.0553 |
| 2 | 0.0320 |
| 3 | 0.0812 |
| 4 | 0.0353 |
| 5 | 0.0115 |
| 6 | 0.0403 |
| 7 | 0.3701 |
| 8 | 0.1081 |
| 9 | 0.0726 |
| 10 | 0.0729 |
| 11 | 0.0685 |
| 12 | 0.0671 |